(1)
DFT (PBE) results for a relaxed KReRuBr2 crystal.

abc: 5.058 6.401 5.058
angles: 90.00 90.00 90.00
Fractional positions:
Br1 0.500 0.000 0.000
Br2 0.000 0.000 0.500
K1 0.000 0.500 0.000
Re1 0.500 0.500 0.500
Ru1 0.000 0.000 0.000

Its total energy is -0.2817 Ry/atom.


(2)
DFT (PBE) results for a relaxed KReSBr2 crystal.

abc: 5.319 5.319 6.015
angles: 90.00 90.00 90.00
Fractional positions:
K1 0.000 0.000 0.500
Re1 0.500 0.500 0.500
S1 0.000 0.000 0.000
Br1 0.000 0.500 0.000
Br2 0.500 0.000 0.000

Its total energy is -0.2298 Ry/atom.


(3)
DFT (PBE) results for a relaxed KReSe2Br crystal.

abc: 5.853 5.853 5.733
angles: 90.00 90.00 90.00
Fractional positions:
Se1 0.000 0.500 0.000
Se2 0.500 0.000 0.000
K1 0.000 0.000 0.000
Re1 0.500 0.500 0.500
Br1 0.000 0.000 0.500

The energy relative to the lowest polymorph listed for this composition comes out at 1888 meV per atom.


(4)
DFT (PBE) results for a relaxed KReSe2Br crystal.

abc: 4.849 4.849 5.692
angles: 90.00 90.00 90.00
Fractional positions:
K1 0.500 0.500 0.500
Se1 0.000 0.500 0.000
Se2 0.500 0.000 0.000
Br1 0.000 0.000 0.500
Re1 0.000 0.000 0.000

The energy relative to the lowest polymorph listed for this composition comes out at 0 meV per atom.


(5)
DFT (PBE) results for a relaxed K2TlReBr8 crystal.

abc: 7.409 6.790 9.071
angles: 89.72 90.18 92.65
Fractional positions:
Tl1 0.000 0.000 0.500
Br1 0.893 0.226 0.800
Br2 0.674 0.749 0.502
Br3 0.888 0.222 0.198
Br4 0.326 0.251 0.498
Br5 0.107 0.774 0.200
Br6 0.304 0.185 0.004
Br7 0.696 0.815 0.996
Br8 0.112 0.778 0.802
K1 0.499 0.506 0.237
K2 0.501 0.494 0.763
Re1 0.000 0.000 0.000

Its total energy is -0.2453 Ry/atom.


(6)
DFT (PBE) results for a relaxed KTlReBr6 crystal.

abc: 7.892 7.892 12.496
angles: 90.00 90.00 120.00
Fractional positions:
Re1 0.333 0.667 0.750
Re2 0.667 0.333 0.250
Br1 0.071 0.406 0.631
Br2 0.594 0.666 0.631
Br3 0.334 0.929 0.631
Br4 0.334 0.406 0.869
Br5 0.666 0.071 0.369
Br6 0.594 0.929 0.869
Br7 0.666 0.594 0.131
Br8 0.406 0.334 0.369
Br9 0.929 0.594 0.369
Br10 0.071 0.666 0.869
Br11 0.929 0.334 0.131
Br12 0.406 0.071 0.131
K1 0.667 0.333 0.750
K2 0.333 0.667 0.250
Tl1 0.000 0.000 0.500
Tl2 0.000 0.000 0.000

Its total energy is -0.2655 Ry/atom.


Asked for calculated volume across the records above, the calculation gives 164; 170; 196; 134; 456; 674 Å³ per cell in order.